Record 1
Material: CrW3S
Method: DFT, SCAN
State: single point on PBEsol structure

Geometry as extended XYZ:
```
5
Lattice="4.364 0.000 0.000 0.000 4.364 0.000 0.000 0.000 4.364" Properties=species:S:1:pos:R:3 pbc="T T T"
W 0.000 0.000 2.182
W 0.000 2.182 0.000
W 2.182 0.000 0.000
Cr 2.182 2.182 2.182
S 0.000 0.000 0.000
```

Computed properties:
Uncorrected formation energy (eV per atom): 1.047
Electronic total energy (eV per atom): -46.369

***

Record 2
Material: Y3CrS
Method: DFT, SCAN
State: single point on PBEsol structure

Geometry as extended XYZ:
```
5
Lattice="5.125 0.000 0.000 0.000 5.125 0.000 0.000 0.000 5.125" Properties=species:S:1:pos:R:3 pbc="T T T"
Y 2.562 0.000 0.000
Y 0.000 2.562 0.000
Y 0.000 0.000 2.562
Cr 2.562 2.562 2.562
S 0.000 0.000 0.000
```

Computed properties:
Uncorrected formation energy (eV per atom): -0.607
Electronic total energy (eV per atom): -22.915

***

Record 3
Material: YCrS3
Method: DFT, SCAN
State: single point on PBEsol structure

Geometry as extended XYZ:
```
5
Lattice="4.531 0.000 0.000 0.000 4.531 0.000 0.000 0.000 4.531" Properties=species:S:1:pos:R:3 pbc="T T T"
Cr 0.000 0.000 0.000
Y 2.266 2.266 2.266
S 0.000 2.266 0.000
S 0.000 0.000 2.266
S 2.266 0.000 0.000
```

Computed properties:
Uncorrected formation energy (eV per atom): -1.239
Electronic total energy (eV per atom): -16.261